A plane-wave DFT calculation with PBE was carried out for a relaxed structure of Nd7Hg3C2.

Structure (POSCAR):
```
Nd7Hg3C2
1.0
2.555 -12.355 0.000
2.555 12.355 0.000
0.000 0.000 5.071
Nd Hg C
7 3 2
Direct
0.000 0.000 0.000 Nd
0.102 0.898 0.500 Nd
0.204 0.796 0.000 Nd
0.400 0.600 0.000 Nd
0.600 0.400 0.000 Nd
0.796 0.204 0.000 Nd
0.898 0.102 0.500 Nd
0.301 0.699 0.500 Hg
0.500 0.500 0.500 Hg
0.699 0.301 0.500 Hg
0.107 0.893 0.000 C
0.893 0.107 0.000 C
```

Output
Its space-group type is No. 65. As for the energy relative to the elements: -257 meV per atom. Its spin magnetization is 0.00 Bohr magnetons per cell. As for the total DFT energy (no corrections): -0.3419 Ry/atom. As for the density of states at the Fermi level: 1.031 states/eV per atom.

***

A plane-wave DFT calculation with PBE was carried out for a relaxed structure of Li3Ni5Cl12.

Structure (POSCAR):
```
Li3Ni5Cl12
1.0
-7.489 7.489 7.489
7.489 -7.489 7.489
7.489 7.489 -7.489
Li Ni Cl
12 20 48
Direct
0.125 0.250 0.375 Li
0.125 0.375 0.750 Li
0.250 0.375 0.125 Li
0.250 0.875 0.625 Li
0.375 0.125 0.250 Li
0.375 0.750 0.125 Li
0.625 0.250 0.875 Li
0.625 0.875 0.750 Li
0.750 0.125 0.375 Li
0.750 0.625 0.875 Li
0.875 0.625 0.250 Li
0.875 0.750 0.625 Li
0.000 0.000 0.000 Ni
0.000 0.000 0.500 Ni
0.000 0.500 0.000 Ni
0.000 0.500 0.500 Ni
0.125 0.750 0.875 Ni
0.125 0.875 0.250 Ni
0.250 0.125 0.875 Ni
0.250 0.625 0.375 Ni
0.375 0.250 0.625 Ni
0.375 0.625 0.750 Ni
0.500 0.000 0.000 Ni
0.500 0.000 0.500 Ni
0.500 0.500 0.000 Ni
0.500 0.500 0.500 Ni
0.625 0.375 0.250 Ni
0.625 0.750 0.375 Ni
0.750 0.375 0.625 Ni
0.750 0.875 0.125 Ni
0.875 0.125 0.750 Ni
0.875 0.250 0.125 Ni
0.026 0.203 0.125 Cl
0.026 0.324 0.901 Cl
0.077 0.703 0.676 Cl
0.077 0.875 0.401 Cl
0.099 0.625 0.423 Cl
0.099 0.974 0.676 Cl
0.125 0.026 0.203 Cl
0.125 0.599 0.923 Cl
0.176 0.203 0.577 Cl
0.176 0.474 0.599 Cl
0.203 0.125 0.026 Cl
0.203 0.577 0.176 Cl
0.297 0.324 0.923 Cl
0.297 0.474 0.375 Cl
0.324 0.901 0.026 Cl
0.324 0.923 0.297 Cl
0.375 0.297 0.474 Cl
0.375 0.577 0.901 Cl
0.401 0.077 0.875 Cl
0.401 0.824 0.526 Cl
0.423 0.099 0.625 Cl
0.423 0.824 0.797 Cl
0.474 0.375 0.297 Cl
0.474 0.599 0.176 Cl
0.526 0.401 0.824 Cl
0.526 0.625 0.703 Cl
0.577 0.176 0.203 Cl
0.577 0.901 0.375 Cl
0.599 0.176 0.474 Cl
0.599 0.923 0.125 Cl
0.625 0.423 0.099 Cl
0.625 0.703 0.526 Cl
0.676 0.077 0.703 Cl
0.676 0.099 0.974 Cl
0.703 0.526 0.625 Cl
0.703 0.676 0.077 Cl
0.797 0.423 0.824 Cl
0.797 0.875 0.974 Cl
0.824 0.526 0.401 Cl
0.824 0.797 0.423 Cl
0.875 0.401 0.077 Cl
0.875 0.974 0.797 Cl
0.901 0.026 0.324 Cl
0.901 0.375 0.577 Cl
0.923 0.125 0.599 Cl
0.923 0.297 0.324 Cl
0.974 0.676 0.099 Cl
0.974 0.797 0.875 Cl
```

Output
Its space-group type is No. 230. Its spin magnetization is 36.18 Bohr magnetons per cell. As for the uncorrected formation energy: -0.787 eV/atom. As for the total DFT energy (no corrections): -0.2666 Ry/atom. As for the density of states at the Fermi level: 1.004 states/eV per atom.